# 1
Compound: Sc2PbN
Source: Alexandria
Functional: GGA-PBEsol
Structure: optimized geometry

Structure (extended XYZ):
```
4
Lattice="0.000 3.320 3.320 3.320 0.000 3.320 3.320 3.320 0.000" Properties=species:S:1:pos:R:3 pbc="T T T"
Sc 1.660 1.660 1.660
Sc 4.979 4.979 4.979
Pb 0.000 0.000 0.000
N 3.320 3.320 3.320
```

## Properties
- volume (Å³/cell) = 73
- formation energy (no corrections) (eV per atom) = 0.222
- ρ (g/cm3) = 7.06

---

# 2
Compound: ScTePbN2
Source: Alexandria
Functional: GGA-PBEsol
Structure: optimized geometry

Structure (extended XYZ):
```
5
Lattice="4.250 0.000 0.000 0.000 4.250 0.000 0.000 0.000 5.979" Properties=species:S:1:pos:R:3 pbc="T T T"
Sc 0.000 0.000 0.000
Te 2.125 2.125 0.000
Pb 2.125 2.125 2.989
N 0.000 2.125 2.989
N 2.125 0.000 2.989
```

## Properties
- volume (Å³/cell) = 108
- formation energy (no corrections) (eV per atom) = 1.110
- ρ (g/cm3) = 6.27

---

# 3
Compound: PbSe3N
Source: Alexandria
Functional: GGA-PBEsol
Structure: optimized geometry

Structure (extended XYZ):
```
5
Lattice="5.427 0.000 0.000 0.000 5.427 0.000 0.000 0.000 5.427" Properties=species:S:1:pos:R:3 pbc="T T T"
Pb 0.000 0.000 0.000
Se 0.000 0.000 2.713
Se 0.000 2.713 0.000
Se 2.713 0.000 0.000
N 2.713 2.713 2.713
```

## Properties
- volume (Å³/cell) = 160
- formation energy (no corrections) (eV per atom) = 1.659
- ρ (g/cm3) = 4.76

---

# 4
Compound: PbSeN3
Source: Alexandria
Functional: GGA-PBEsol
Structure: optimized geometry

Structure (extended XYZ):
```
5
Lattice="3.901 0.000 0.000 0.000 3.901 0.000 0.000 0.000 3.901" Properties=species:S:1:pos:R:3 pbc="T T T"
Pb 0.000 0.000 0.000
Se 1.950 1.950 1.950
N 0.000 1.950 1.950
N 1.950 0.000 1.950
N 1.950 1.950 0.000
```

## Properties
- volume (Å³/cell) = 59
- formation energy (no corrections) (eV per atom) = 1.402
- ρ (g/cm3) = 9.18

---

# 5
Compound: PbSe2N2
Source: Alexandria
Functional: GGA-PBEsol
Structure: optimized geometry

Structure (extended XYZ):
```
5
Lattice="4.239 0.000 0.000 0.000 4.239 0.000 0.000 0.000 5.833" Properties=species:S:1:pos:R:3 pbc="T T T"
Pb 0.000 0.000 0.000
Se 0.000 0.000 2.916
Se 2.119 2.119 2.916
N 0.000 2.119 0.000
N 2.119 0.000 0.000
```

## Properties
- volume (Å³/cell) = 105
- formation energy (no corrections) (eV per atom) = 1.702
- ρ (g/cm3) = 6.23

---

# 6
Compound: PbSe2N2
Source: Alexandria
Functional: GGA-PBEsol
Structure: optimized geometry

Structure (extended XYZ):
```
5
Lattice="4.031 0.000 0.000 0.000 4.031 0.000 0.000 0.000 5.180" Properties=species:S:1:pos:R:3 pbc="T T T"
Pb 0.000 0.000 0.000
Se 2.016 2.016 0.000
Se 2.016 2.016 2.590
N 0.000 2.016 2.590
N 2.016 0.000 2.590
```

## Properties
- volume (Å³/cell) = 84
- formation energy (no corrections) (eV per atom) = 1.215
- ρ (g/cm3) = 7.75

---

# 7
Compound: SnPbSeN2
Source: Alexandria
Functional: GGA-PBEsol
Structure: optimized geometry

Structure (extended XYZ):
```
5
Lattice="4.344 0.000 0.000 0.000 4.344 0.000 0.000 0.000 5.568" Properties=species:S:1:pos:R:3 pbc="T T T"
Sn 0.000 0.000 0.000
Pb 2.172 2.172 2.784
Se 2.172 2.172 0.000
N 0.000 2.172 2.784
N 2.172 0.000 2.784
```

## Properties
- volume (Å³/cell) = 105
- formation energy (no corrections) (eV per atom) = 1.330
- ρ (g/cm3) = 6.84

---

# 8
Compound: TiPbSeN2
Source: Alexandria
Functional: GGA-PBEsol
Structure: optimized geometry

Structure (extended XYZ):
```
5
Lattice="4.170 0.000 0.000 0.000 4.170 0.000 0.000 0.000 5.496" Properties=species:S:1:pos:R:3 pbc="T T T"
Ti 0.000 0.000 0.000
Pb 2.085 2.085 2.748
Se 2.085 2.085 0.000
N 0.000 2.085 2.748
N 2.085 0.000 2.748
```

## Properties
- volume (Å³/cell) = 96
- formation energy (no corrections) (eV per atom) = 1.430
- ρ (g/cm3) = 6.29

---

# 9
Compound: TlPbSeN2
Source: Alexandria
Functional: GGA-PBEsol
Structure: optimized geometry

Structure (extended XYZ):
```
5
Lattice="4.373 0.000 0.000 0.000 4.373 0.000 0.000 0.000 5.595" Properties=species:S:1:pos:R:3 pbc="T T T"
Tl 0.000 0.000 0.000
Pb 2.187 2.187 2.797
Se 0.000 0.000 2.797
N 0.000 2.187 0.000
N 2.187 0.000 0.000
```

## Properties
- volume (Å³/cell) = 107
- formation energy (no corrections) (eV per atom) = 1.408
- ρ (g/cm3) = 8.05

---

# 10
Compound: SiPbN2
Source: Alexandria
Functional: GGA-PBEsol
Structure: optimized geometry

Structure (extended XYZ):
```
8
Lattice="-2.701 2.701 3.693 2.701 -2.701 3.693 2.701 2.701 -3.693" Properties=species:S:1:pos:R:3 pbc="T T T"
Si 0.000 0.000 0.000
Si 0.000 2.701 1.847
Pb 2.701 0.000 1.847
Pb 0.000 0.000 3.693
N 0.618 1.350 0.923
N -1.350 2.083 2.770
N -0.618 4.051 0.923
N 1.350 3.319 2.770
```

## Properties
- volume (Å³/cell) = 108
- formation energy (no corrections) (eV per atom) = -0.453
- ρ (g/cm3) = 8.12

---

# 11
Compound: Si7PbN10
Source: Alexandria
Functional: GGA-PBEsol
Structure: optimized geometry

Structure (extended XYZ):
```
36
Lattice="6.876 0.000 0.000 0.000 6.740 0.000 -2.657 0.000 9.311" Properties=species:S:1:pos:R:3 pbc="T T T"
Si 0.000 0.167 0.000
Si -1.328 6.573 4.655
Si -1.333 2.498 5.930
Si -0.005 4.243 1.274
Si 0.414 0.171 2.884
Si -0.914 6.569 7.540
Si -0.847 2.567 8.762
Si 0.482 4.173 4.106
Si 2.280 2.686 2.321
Si 0.951 4.055 6.977
Si 4.671 2.523 0.160
Si 3.343 4.218 4.815
Si 5.107 2.498 3.106
Si 3.779 4.242 7.762
Pb 2.231 0.375 6.807
Pb 3.559 6.366 2.152
N -1.831 3.136 7.451
N -0.503 3.604 2.796
N -1.136 0.786 6.094
N 0.192 5.954 1.439
N -1.090 0.885 8.924
N 0.239 5.855 4.269
N 1.457 3.366 0.931
N 0.128 3.374 5.586
N 1.800 1.121 2.792
N 0.472 5.619 7.447
N 0.799 2.828 8.249
N 2.127 3.912 3.594
N 3.965 2.571 1.801
N 2.636 4.170 6.456
N 2.786 1.042 9.161
N 4.114 5.698 4.505
N 4.414 2.845 4.662
N 5.742 3.896 0.007
N 5.726 0.909 3.266
N 4.398 5.831 7.921
```

## Properties
- volume (Å³/cell) = 432
- formation energy (no corrections) (eV per atom) = -1.072
- ρ (g/cm3) = 4.19

---

# 12
Compound: SrPbN3
Source: Alexandria
Functional: GGA-PBEsol
Structure: optimized geometry

Structure (extended XYZ):
```
5
Lattice="4.677 0.000 0.000 0.000 4.677 0.000 0.000 0.000 4.677" Properties=species:S:1:pos:R:3 pbc="T T T"
Sr 0.000 0.000 0.000
Pb 2.339 2.339 2.339
N 0.000 0.000 2.339
N 0.000 2.339 0.000
N 2.339 0.000 0.000
```

## Properties
- volume (Å³/cell) = 102
- formation energy (no corrections) (eV per atom) = 1.770
- ρ (g/cm3) = 5.47

---

Question: Which value of formation energy (no corrections) does entry 12 give?
Answer: 1.770 eV per atom

---

Question: Look up the formation energy (no corrections) of the third one.
Answer: 1.659 eV per atom

---

Question: Number 4 is which compound?
Answer: PbSeN3

---

Copy entry 7 word for word.
Compound: SnPbSeN2
Source: Alexandria
Functional: GGA-PBEsol
Structure: optimized geometry

Structure (extended XYZ):
```
5
Lattice="4.344 0.000 0.000 0.000 4.344 0.000 0.000 0.000 5.568" Properties=species:S:1:pos:R:3 pbc="T T T"
Sn 0.000 0.000 0.000
Pb 2.172 2.172 2.784
Se 2.172 2.172 0.000
N 0.000 2.172 2.784
N 2.172 0.000 2.784
```

## Properties
- volume (Å³/cell) = 105
- formation energy (no corrections) (eV per atom) = 1.330
- ρ (g/cm3) = 6.84